Record 1
Material: VAsSCl2
Method: DFT, PBE
State: optimized geometry

abc: 4.763 4.763 4.785
angles: 90.00 90.00 90.00
Space group P4/mmm (No. 123)
Asymmetric unit:
V (0.000, 0.000, 0.000) (multiplicity 1)
As (0.500, 0.500, 0.500) (multiplicity 1)
S (0.000, 0.000, 0.500) (multiplicity 1)
Cl (0.000, 0.500, 0.000) (multiplicity 2)

Values from the calculation:
energy = -4.431 eV per atom
E_form (uncorrected) = -10.9 kJ/mol of atoms
crystal system = tetragonal



Record 2
Material: Pm6Tc2Au
Method: DFT, PBE
State: optimized geometry

abc: 9.801 9.833 10.303
angles: 90.00 90.00 90.00
Space group Immm (No. 71)
Asymmetric unit:
Pm (0.000, 0.212, 0.183) (multiplicity 8)
Pm (0.188, 0.215, 0.500) (multiplicity 8)
Pm (0.206, 0.500, 0.274) (multiplicity 8)
Tc (0.000, 0.000, 0.384) (multiplicity 4)
Tc (0.123, 0.000, 0.000) (multiplicity 4)
Au (0.000, 0.500, 0.000) (multiplicity 2)
Au (0.000, 0.500, 0.500) (multiplicity 2)

Values from the calculation:
energy = -5.986 eV per atom
crystal system = orthorhombic
energy relative to the elements = -151 meV per atom



Record 3
Material: Y6Mg6Cu
Method: DFT, PBE
State: optimized geometry

abc: 6.1338 6.1338 11.1436
angles: 90.00 90.00 120.00
Space group P6/mmm (No. 191)
Asymmetric unit:
Y (0.0000, 0.0000, 0.1565) (multiplicity 2)
Y (0.3333, 0.6667, 0.0000) (multiplicity 2)
Y (0.3333, 0.6667, 0.5000) (multiplicity 2)
Mg (0.0000, 0.5000, 0.2543) (multiplicity 6)
Cu (0.0000, 0.0000, 0.5000) (multiplicity 1)

Values from the calculation:
energy = -3.868 eV per atom
crystal system = hexagonal
energy relative to the elements = 167 meV per atom



Record 4
Material: AcYIrCl
Method: DFT, PBE
State: optimized geometry

abc: 4.1748 4.1748 23.3842
angles: 90.00 90.00 120.00
Space group R3m (No. 160, hexagonal axes)
Asymmetric unit:
Ac (0.0000, 0.0000, 0.0000) (multiplicity 3)
Y (0.0000, 0.0000, 0.2021) (multiplicity 3)
Ir (0.0000, 0.0000, 0.5960) (multiplicity 3)
Cl (0.0000, 0.0000, 0.7804) (multiplicity 3)

Values from the calculation:
energy = -6.515 eV per atom
E_form (uncorrected) = -115.3 kJ/mol of atoms
crystal system = trigonal